This record from Alexandria via LeMat-Bulk describes an optimized crystal structure of KTlZn2Rh. The functional is PBE.

a b c (Å): 4.9740 4.9740 5.2326
angles (deg): 90.00 90.00 90.00
With the nearest neighbours (Å) after each atom.
Positions (direct):
Rh 0.0000 0.0000 0.0000  4 Zn 2.49, 2 Tl 2.62
Tl 0.0000 0.0000 0.5000  2 Rh 2.62
K 0.5000 0.5000 0.5000  4 Tl 3.52, 8 Zn 3.61
Zn 0.0000 0.5000 0.0000  2 Rh 2.49
Zn 0.5000 0.0000 0.0000  2 Rh 2.49

Properties
formation enthalpy at 0 K = -0.1281 eV per atom
final energy = -2.80 eV per atom
space group = P4/mmm, No. 123